[1]
Here is an optimized crystal structure of TbSnPd3 from Alexandria. Energies are from PBE-GGA.

Summary:
Energy of formation, eV/f.u.: -3.96
D(E_F), states/eV per atom: 0.290
Crystal system: orthorhombic
Total magnetization, μB/f.u.: 0.0
Polymorph energy (0 for the lowest one), eV per atom: 0.000

Cell lengths 5.0146, 15.0397, 4.9871 Å; angles 90.00, 90.00, 90.00 degrees
With the nearest neighbours (Å) after each atom.
Space group Cmcm (No. 63)
Inequivalent atoms, fractional coordinates:
Tb 0.0000 0.1455 0.2500 x4  9 Pd 2.85-2.99
Sn 0.0000 0.3645 0.2500 x4  9 Pd 2.79-3.07
Pd 0.0000 0.0537 0.7500 x4  2 Sn 2.79, 3 Tb 2.85-2.99, 5 Pd 2.96-3.00
Pd 0.0000 0.2529 0.7500 x4  4 Tb 2.94-2.97, 2 Pd 2.96-3.00, 4 Sn 3.01-3.07
Pd 0.0000 0.4497 0.7500 x4  3 Sn 2.79-2.80, 2 Tb 2.89, 5 Pd 2.92-2.96


[2]
Here is an optimized crystal structure of Tb3Sn3Pd2 from Alexandria. Energies are from PBE-GGA.

Summary:
Energy of formation, eV/f.u.: -6.71
D(E_F), states/eV per atom: 0.471
Crystal system: orthorhombic
Total magnetization, μB/f.u.: 0.0

Cell lengths 8.4331, 15.3793, 5.9425 Å; angles 90.00, 90.00, 90.00 degrees
With the nearest neighbours (Å) after each atom.
Space group Pnma (No. 62)
Inequivalent atoms, fractional coordinates:
Tb 0.0322 0.1112 0.1249 x8  2 Pd 3.13-3.14, 6 Sn 3.18-3.41
Tb 0.1737 0.2500 0.6349 x4  4 Pd 3.05-3.26, 5 Sn 3.16-3.41
Sn 0.1860 0.7500 0.6285 x4  2 Pd 2.74
Sn 0.1986 0.0369 0.6022 x8  3 Pd 2.67-2.82
Pd 0.0862 0.6119 0.3738 x8  4 Sn 2.67-2.82


[3]
Here is an optimized crystal structure of TbSn2Pd6 from Alexandria. Energies are from PBE-GGA.

Summary:
Energy of formation, eV/f.u.: -4.61
D(E_F), states/eV per atom: 0.352
Crystal system: hexagonal
Total magnetization, μB/f.u.: 0.0
Polymorph energy (0 for the lowest one), eV per atom: 0.000

Cell lengths 5.5600, 5.5600, 7.0439 Å; angles 90.00, 90.00, 120.00 degrees
With the nearest neighbours (Å) after each atom.
Space group P6/mmm (No. 191)
Inequivalent atoms, fractional coordinates:
Tb 0.0000 0.0000 0.0000 x1  12 Pd 3.09
Sn 0.3333 0.6667 0.5000 x2  6 Pd 2.70
Pd 0.0000 0.5000 0.1918 x6  2 Sn 2.70, 5 Pd 2.70-2.78


[4]
Here is an optimized crystal structure of TbSnPd from Alexandria. Energies are from PBE-GGA.

Summary:
Energy of formation, eV/f.u.: -2.75
D(E_F), states/eV per atom: 0.407
Crystal system: orthorhombic
Total magnetization, μB/f.u.: 0.0

Cell lengths 4.6626, 21.7532, 7.9953 Å; angles 90.00, 90.00, 90.00 degrees
With the nearest neighbours (Å) after each atom.
Space group Imm2 (No. 44)
Inequivalent atoms, fractional coordinates:
Tb 0.0000 0.0000 0.0000 x2  6 Sn 3.19-3.20, 6 Pd 3.37-3.38
Tb 0.0000 0.1649 0.0795 x4  6 Pd 3.06-3.37, 6 Sn 3.20-3.35
Tb 0.0000 0.3307 0.0034 x4  6 Pd 3.16-3.30, 6 Sn 3.23-3.32
Tb 0.0000 0.5000 0.0780 x2  6 Pd 3.24-3.28, 6 Sn 3.30-3.36
Sn 0.0000 0.0975 0.7022 x4  4 Pd 2.70-2.97
Sn 0.0000 0.2662 0.3799 x4  4 Pd 2.70-2.87
Sn 0.0000 0.4313 0.7016 x4  3 Pd 2.70-2.73, 1 Sn 2.99
Pd 0.0000 0.0734 0.3707 x4  3 Sn 2.70
Pd 0.0000 0.2339 0.7087 x4  4 Sn 2.70-2.97
Pd 0.0000 0.3979 0.3730 x4  4 Sn 2.70-2.87


Copy entry 4 word for word.
Here is an optimized crystal structure of TbSnPd from Alexandria. Energies are from PBE-GGA.

Summary:
Energy of formation, eV/f.u.: -2.75
D(E_F), states/eV per atom: 0.407
Crystal system: orthorhombic
Total magnetization, μB/f.u.: 0.0

Cell lengths 4.6626, 21.7532, 7.9953 Å; angles 90.00, 90.00, 90.00 degrees
With the nearest neighbours (Å) after each atom.
Space group Imm2 (No. 44)
Inequivalent atoms, fractional coordinates:
Tb 0.0000 0.0000 0.0000 x2  6 Sn 3.19-3.20, 6 Pd 3.37-3.38
Tb 0.0000 0.1649 0.0795 x4  6 Pd 3.06-3.37, 6 Sn 3.20-3.35
Tb 0.0000 0.3307 0.0034 x4  6 Pd 3.16-3.30, 6 Sn 3.23-3.32
Tb 0.0000 0.5000 0.0780 x2  6 Pd 3.24-3.28, 6 Sn 3.30-3.36
Sn 0.0000 0.0975 0.7022 x4  4 Pd 2.70-2.97
Sn 0.0000 0.2662 0.3799 x4  4 Pd 2.70-2.87
Sn 0.0000 0.4313 0.7016 x4  3 Pd 2.70-2.73, 1 Sn 2.99
Pd 0.0000 0.0734 0.3707 x4  3 Sn 2.70
Pd 0.0000 0.2339 0.7087 x4  4 Sn 2.70-2.97
Pd 0.0000 0.3979 0.3730 x4  4 Sn 2.70-2.87